Record 1
Here is KCr4 after structural relaxation from Alexandria via LeMat-Bulk. Energies are from PBE.

E: -27.5 eV per formula unit
SG: No. 229
DFT formation energy: 2.42 eV per atom

Unit cell a=5.9467 b=5.9467 c=5.9467 alpha=109.47 beta=109.47 gamma=109.47
Last column: nearest neighbours and their distance in Å.
Element x y z (fractional)
K (0.0000, 0.0000, 0.0000)  8 Cr 2.97
Cr (0.0000, 0.5000, 0.0000)  2 K 2.97
Cr (0.5000, 0.5000, 0.5000)  2 K 2.97
Cr (0.5000, 0.0000, 0.0000)  2 K 2.97
Cr (0.0000, 0.0000, 0.5000)  2 K 2.97

---

Record 2
Here is SbTe2SI after structural relaxation from Alexandria via LeMat-Bulk. Energies are from PBE.

raw formation energy: 507 meV per atom
E: -13.6 eV per formula unit
SG: No. 123

Unit cell a=5.2612 b=5.2612 c=5.5692 alpha=90.00 beta=90.00 gamma=90.00
Last column: nearest neighbours and their distance in Å.
Element x y z (fractional)
Sb (0.5000, 0.5000, 0.5000)  4 I 3.72, 8 Te 3.83
Te (0.5000, 0.0000, 0.0000)  2 S 2.63
I (0.0000, 0.0000, 0.5000)  2 S 2.78
S (0.0000, 0.0000, 0.0000)  4 Te 2.63, 2 I 2.78
Te (0.0000, 0.5000, 0.0000)  2 S 2.63

---

Record 3
Here is LiNd2Ga2 after structural relaxation from Alexandria via LeMat-Bulk. Energies are from PBE.

E: -19.8 eV per formula unit
SG: No. 12
DFT formation energy: -0.45 eV per atom

Unit cell a=4.6656 b=5.7747 c=10.0081 alpha=85.78 beta=76.52 gamma=66.17
Last column: nearest neighbours and their distance in Å.
Element x y z (fractional)
Ga (0.9848, 0.1405, 0.8899)  1 Ga 2.64, 1 Li 2.71
Nd (0.4819, 0.7083, 0.3279)  4 Li 3.09-3.30, 7 Ga 3.23-3.36
Ga (0.1379, 0.2942, 0.4301)  1 Ga 2.54, 2 Li 2.65
Nd (0.6907, 0.7238, 0.8948)  6 Ga 3.08-3.21
Li (0.2250, 0.9125, 0.6374)  4 Ga 2.65-2.88
Ga (0.8621, 0.7058, 0.5699)  1 Ga 2.54, 2 Li 2.65
Li (0.7750, 0.0875, 0.3626)  4 Ga 2.65-2.88
Nd (0.5181, 0.2917, 0.6721)  4 Li 3.09-3.30, 7 Ga 3.23-3.36
Ga (0.0152, 0.8595, 0.1101)  1 Ga 2.64, 1 Li 2.71
Nd (0.3093, 0.2762, 0.1052)  6 Ga 3.08-3.21